*a*
La2BiPd2 | GGA-PBE | relaxed

Values from the calculation:
crystal system	tetragonal
magnetization	0.00	μB per formula unit

Unit cell a=8.0274 b=8.0274 c=4.0002 alpha=90.00 beta=90.00 gamma=90.00
Sites, in units of the cell vectors:
La  0.1784  0.3216  0.0000
La  0.3216  0.8216  0.0000
La  0.6784  0.1784  0.0000
La  0.8216  0.6784  0.0000
Bi  0.0000  0.0000  0.5000
Bi  0.5000  0.5000  0.5000
Pd  0.1230  0.6230  0.5000
Pd  0.3770  0.1230  0.5000
Pd  0.6230  0.8770  0.5000
Pd  0.8770  0.3770  0.5000

=====

*b*
La2BiPd2 | GGA-PBE | relaxed

Values from the calculation:
crystal system	tetragonal
magnetization	0.00	μB per formula unit

Unit cell a=5.6677 b=5.6677 c=8.6092 alpha=90.00 beta=90.00 gamma=90.00
Sites, in units of the cell vectors:
La  0.0000  0.5000  0.2500
La  0.0000  0.5000  0.7500
La  0.5000  0.0000  0.2500
La  0.5000  0.0000  0.7500
Bi  0.0000  0.0000  0.0000
Bi  0.5000  0.5000  0.5000
Pd  0.0000  0.0000  0.3506
Pd  0.0000  0.0000  0.6494
Pd  0.5000  0.5000  0.1494
Pd  0.5000  0.5000  0.8506

=====

Which of them is least stable? Easy: *b*.

=====

*a*
La2BiPd2 | GGA-PBE | relaxed

Values from the calculation:
crystal system	tetragonal
magnetization	0.00	μB per formula unit

Unit cell a=8.6714 b=8.6714 c=3.6626 alpha=90.00 beta=90.00 gamma=90.00
Sites, in units of the cell vectors:
La  0.1634  0.3366  0.0000
La  0.3366  0.8366  0.0000
La  0.6634  0.1634  0.0000
La  0.8366  0.6634  0.0000
Bi  0.0000  0.0000  0.0000
Bi  0.5000  0.5000  0.0000
Pd  0.1208  0.6208  0.5000
Pd  0.3792  0.1208  0.5000
Pd  0.6208  0.8792  0.5000
Pd  0.8792  0.3792  0.5000

=====

*b*
La2BiPd2 | GGA-PBE | relaxed

Values from the calculation:
crystal system	tetragonal
magnetization	0.00	μB per formula unit

Unit cell a=4.0918 b=4.0918 c=16.2844 alpha=90.00 beta=90.00 gamma=90.00
Sites, in units of the cell vectors:
La  0.0000  0.0000  0.1156
La  0.0000  0.0000  0.8844
La  0.5000  0.5000  0.3844
La  0.5000  0.5000  0.6156
Bi  0.0000  0.0000  0.5000
Bi  0.5000  0.5000  0.0000
Pd  0.0000  0.5000  0.2500
Pd  0.0000  0.5000  0.7500
Pd  0.5000  0.0000  0.2500
Pd  0.5000  0.0000  0.7500

=====

Which of them is least stable? Easy: *a*.